[1]
VASP calculation (PBE) on a relaxed LiErAgHg crystal.

POSCAR file:
```
LiErAgHg
1.0
-1.591 0.856 -4.287
4.114 -1.251 -1.777
-2.505 -3.498 2.756
Li Er Ag Hg
1 1 1 1
Cartesian
1.435 -2.473 -1.027
-1.417 -1.419 -2.282
1.261 -0.197 -3.032
-4.096 -2.641 -1.532
```

Properties
As for the magnetic moment: 0.00 μB/f.u. For the calculated density, the calculation gives 9.5 g cm⁻³.

[2]
VASP calculation (PBE) on a relaxed Er4Ag2HgOs crystal.

POSCAR file:
```
Er4Ag2HgOs
1.0
-2.020 1.411 4.401
-2.935 -3.198 2.568
4.937 -3.472 6.270
Er Ag Hg Os
4 2 1 1
Cartesian
2.288 -3.633 7.996
-2.346 -2.927 8.532
2.328 -2.333 4.707
-2.306 -1.627 5.244
0.072 -3.982 9.980
-0.089 -1.278 3.259
0.000 0.000 0.000
-0.009 -2.630 6.620
```

Properties
As for the magnetic moment: 0.00 μB/f.u. For the calculated density, the calculation gives 11.7 g cm⁻³.

[3]
VASP calculation (PBE) on a relaxed ErAgHgPb crystal.

POSCAR file:
```
ErAgHgPb
1.0
-2.515 2.014 4.028
1.951 -0.463 4.752
1.902 4.138 2.421
Pb Hg Ag Er
1 1 1 1
Cartesian
0.669 2.845 5.600
1.004 4.267 8.401
0.335 1.422 2.800
0.000 0.000 0.000
```

Properties
As for the magnetic moment: 0.00 μB/f.u. For the calculated density, the calculation gives 11.7 g cm⁻³. The energy relative to the lowest polymorph listed for this composition is 0.029 eV per atom.

[4]
VASP calculation (PBE) on a relaxed ErAgHgPb crystal.

POSCAR file:
```
ErAgHgPb
1.0
-3.698 -0.052 3.568
3.552 -0.546 3.674
0.315 3.915 -3.318
Er Ag Hg Pb
1 1 1 1
Cartesian
-0.073 -0.299 3.621
0.000 0.000 0.000
-1.728 1.782 1.936
1.897 1.535 1.989
```

Properties
As for the magnetic moment: 0.00 μB/f.u. For the calculated density, the calculation gives 11.8 g cm⁻³. The energy relative to the lowest polymorph listed for this composition is 0.000 eV per atom.

[5]
VASP calculation (PBE) on a relaxed Er4AgHg2Pd crystal.

POSCAR file:
```
Er4AgHg2Pd
1.0
5.127 0.000 0.000
2.563 4.440 0.000
2.563 1.480 8.311
Er Ag Hg Pd
4 1 2 1
Cartesian
5.127 2.960 7.166
7.690 4.440 3.197
2.563 1.480 5.114
5.127 2.960 1.144
0.000 0.000 0.000
7.690 4.440 6.340
2.563 1.480 1.971
5.127 2.960 4.155
```

Properties
As for the magnetic moment: 0.00 μB/f.u. For the calculated density, the calculation gives 11.3 g cm⁻³.

[6]
VASP calculation (PBE) on a relaxed PmErAgHg crystal.

POSCAR file:
```
PmErAgHg
1.0
5.248 0.000 0.000
2.624 4.545 0.000
2.624 1.515 4.285
Pm Hg Ag Er
1 1 1 1
Cartesian
0.000 0.000 0.000
7.872 4.545 3.214
2.624 1.515 1.071
5.248 3.030 2.143
```

Properties
As for the magnetic moment: 0.00 μB/f.u. For the calculated density, the calculation gives 10.1 g cm⁻³.

[7]
VASP calculation (PBE) on a relaxed PmEr2AgHg4 crystal.

POSCAR file:
```
PmEr2AgHg4
1.0
-3.621 0.120 -3.534
-4.588 -1.883 1.013
-5.357 7.388 2.116
Pm Er Ag Hg
1 2 1 4
Cartesian
0.000 0.000 0.000
-10.094 3.973 -0.395
-3.472 1.653 -0.010
-6.783 2.813 -0.203
-7.724 5.678 0.859
-9.191 1.226 -1.413
-4.375 4.400 1.008
-5.842 -0.052 -1.265
```

Properties
As for the magnetic moment: 0.00 μB/f.u. For the calculated density, the calculation gives 11.7 g cm⁻³.

[8]
VASP calculation (PBE) on a relaxed Pm2ErAg2Hg2 crystal.

POSCAR file:
```
Pm2ErAg2Hg2
1.0
-4.303 2.203 0.609
-2.275 -0.243 4.302
1.937 8.002 4.235
Pm Er Ag Hg
2 1 2 2
Cartesian
0.420 5.302 3.281
-5.061 4.660 5.865
0.000 0.000 0.000
-3.671 2.579 3.724
-0.970 7.384 5.422
-3.302 7.789 6.972
-1.338 2.173 2.174
```

Properties
As for the magnetic moment: 0.00 μB/f.u. For the calculated density, the calculation gives 9.8 g cm⁻³.

[9]
VASP calculation (PBE) on a relaxed Pm2ErAgHg4 crystal.

POSCAR file:
```
Pm2ErAgHg4
1.0
-4.448 2.271 -1.371
-3.843 0.458 3.442
0.387 8.587 3.187
Pm Er Ag Hg
2 1 1 4
Cartesian
-5.998 8.317 3.888
-1.906 2.999 1.370
0.000 0.000 0.000
-3.952 5.658 2.629
-2.723 8.652 3.602
-7.128 5.561 2.991
-0.775 5.755 2.266
-5.180 2.664 1.655
```

Properties
As for the magnetic moment: 0.00 μB/f.u. For the calculated density, the calculation gives 11.3 g cm⁻³.

[10]
VASP calculation (PBE) on a relaxed PmErAgHg crystal.

POSCAR file:
```
PmErAgHg
1.0
-0.805 -2.655 -2.433
-0.626 -2.352 2.773
-7.200 2.066 0.126
Pm Er Ag Hg
1 1 1 1
Cartesian
-6.143 1.763 0.108
-2.622 0.753 0.046
-4.948 -1.288 0.244
-1.598 -2.250 0.186
```

Properties
As for the magnetic moment: 0.12 μB/f.u. For the calculated density, the calculation gives 10.1 g cm⁻³.

[11]
VASP calculation (PBE) on a relaxed PrErAgHg crystal.

POSCAR file:
```
PrErAgHg
1.0
-2.498 -0.007 2.734
0.465 -3.651 0.415
5.520 1.277 5.048
Pr Er Ag Hg
1 1 1 1
Cartesian
4.711 1.090 4.308
2.013 0.466 1.841
2.190 -1.087 4.507
-0.304 -1.664 2.226
```

Properties
As for the magnetic moment: 0.22 μB/f.u. For the calculated density, the calculation gives 9.8 g cm⁻³. The energy relative to the lowest polymorph listed for this composition is 0.000 eV per atom.

[12]
VASP calculation (PBE) on a relaxed PrErAgHg crystal.

POSCAR file:
```
PrErAgHg
1.0
5.289 0.000 0.000
2.645 4.581 0.000
2.645 1.527 4.319
Pr Hg Ag Er
1 1 1 1
Cartesian
5.289 3.054 2.159
7.934 4.581 3.239
2.645 1.527 1.080
0.000 0.000 0.000
```

Properties
As for the magnetic moment: 0.00 μB/f.u. For the calculated density, the calculation gives 9.8 g cm⁻³. The energy relative to the lowest polymorph listed for this composition is 0.010 eV per atom.

How do the records compare in formation energy from the elements? In the order shown, they have -0.31 -0.38 -0.21 -0.24 -0.54 -0.39 -0.37 -0.23 -0.41 -0.39 -0.38 -0.37 eV per atom.